DFT (PBE) results for an optimized crystal structure of Nd8Dy3.

## Properties
ΔE to the lowest computed polymorph (meV/atom): 303.5

a b c (Å): 7.321 7.321 7.321
angles (deg): 84.47 84.47 84.47
Element x y z (fractional)
Nd 0.113 0.113 0.113
Nd 0.193 0.350 0.615
Nd 0.350 0.615 0.193
Nd 0.385 0.807 0.650
Nd 0.615 0.193 0.350
Nd 0.650 0.385 0.807
Nd 0.807 0.650 0.385
Nd 0.887 0.887 0.887
Dy 0.000 0.000 0.500
Dy 0.000 0.500 0.000
Dy 0.500 0.000 0.000

DFT (PBE) results for an optimized crystal structure of NdDy2.

## Properties
ΔE to the lowest computed polymorph (meV/atom): 286.6

a b c (Å): 6.640 6.640 6.640
angles (deg): 60.00 60.00 60.00
Element x y z (fractional)
Nd 0.125 0.125 0.125
Nd 0.875 0.875 0.875
Dy 0.000 0.500 0.500
Dy 0.500 0.000 0.500
Dy 0.500 0.500 0.000
Dy 0.500 0.500 0.500

DFT (PBE) results for an optimized crystal structure of Nd3DyNi8.

a b c (Å): 8.929 8.929 8.929
angles (deg): 33.48 33.48 33.48
Element x y z (fractional)
Nd 0.000 0.000 0.000
Nd 0.125 0.125 0.125
Nd 0.501 0.501 0.501
Dy 0.626 0.626 0.626
Ni 0.060 0.563 0.563
Ni 0.064 0.064 0.564
Ni 0.064 0.564 0.064
Ni 0.313 0.313 0.313
Ni 0.563 0.060 0.563
Ni 0.563 0.563 0.060
Ni 0.564 0.064 0.064
Ni 0.813 0.813 0.813

DFT (PBE) results for an optimized crystal structure of Nd2DyNi2.

## Properties
ΔE to the lowest computed polymorph (meV/atom): 33.5

a b c (Å): 7.691 7.691 3.944
angles (deg): 90.00 90.00 90.00
Element x y z (fractional)
Nd 0.168 0.332 0.000
Nd 0.332 0.832 0.000
Nd 0.668 0.168 0.000
Nd 0.832 0.668 0.000
Dy 0.000 0.000 0.500
Dy 0.500 0.500 0.500
Ni 0.121 0.621 0.500
Ni 0.379 0.121 0.500
Ni 0.621 0.879 0.500
Ni 0.879 0.379 0.500

DFT (PBE) results for an optimized crystal structure of Nd2DyNi2.

## Properties
ΔE to the lowest computed polymorph (meV/atom): 0.0

a b c (Å): 6.666 6.666 11.237
angles (deg): 117.57 117.57 33.26
Element x y z (fractional)
Nd 0.044 0.044 0.191
Nd 0.161 0.161 0.570
Nd 0.839 0.839 0.430
Nd 0.956 0.956 0.809
Dy 0.294 0.294 0.140
Dy 0.706 0.706 0.860
Ni 0.386 0.386 0.953
Ni 0.496 0.496 0.614
Ni 0.504 0.504 0.386
Ni 0.614 0.614 0.047

DFT (PBE) results for an optimized crystal structure of NdDy2Ni9.

a b c (Å): 8.616 8.616 8.616
angles (deg): 33.73 33.73 33.73
Element x y z (fractional)
Nd 0.000 0.000 0.000
Dy 0.140 0.140 0.140
Dy 0.860 0.860 0.860
Ni 0.082 0.583 0.583
Ni 0.333 0.333 0.333
Ni 0.417 0.417 0.918
Ni 0.417 0.918 0.417
Ni 0.500 0.500 0.500
Ni 0.583 0.082 0.583
Ni 0.583 0.583 0.082
Ni 0.667 0.667 0.667
Ni 0.918 0.417 0.417

DFT (PBE) results for an optimized crystal structure of NdDyNi.

## Properties
ΔE to the lowest computed polymorph (meV/atom): 0.0

a b c (Å): 6.390 6.390 8.209
angles (deg): 124.36 124.36 34.00
Element x y z (fractional)
Nd 0.167 0.167 0.079
Nd 0.833 0.833 0.921
Dy 0.415 0.415 0.614
Dy 0.585 0.585 0.386
Ni 0.122 0.122 0.670
Ni 0.878 0.878 0.330

DFT (PBE) results for an optimized crystal structure of NdDyNi4.

a b c (Å): 5.120 5.120 5.120
angles (deg): 60.00 60.00 60.00
Element x y z (fractional)
Nd 0.000 0.000 0.000
Dy 0.250 0.250 0.250
Ni 0.127 0.624 0.624
Ni 0.624 0.127 0.624
Ni 0.624 0.624 0.127
Ni 0.624 0.624 0.624

Number 1: ΔH_f (0 K) 5.02 eV/f.u., volume 35.20 Å³/atom. Number 2: ΔH_f (0 K) 0.85 eV/f.u., volume 34.51 Å³/atom. Number 3: ΔH_f (0 K) -4.12 eV/f.u., volume 16.07 Å³/atom. Number 4: ΔH_f (0 K) -1.22 eV/f.u., volume 23.33 Å³/atom. Number 5: ΔH_f (0 K) -1.39 eV/f.u., volume 23.98 Å³/atom. Number 6: ΔH_f (0 K) -4.65 eV/f.u., volume 14.65 Å³/atom. Number 7: ΔH_f (0 K) -0.74 eV/f.u., volume 25.22 Å³/atom. Number 8: ΔH_f (0 K) -2.27 eV/f.u., volume 15.82 Å³/atom.